No. 1
Zr2PtPb | Alexandria | GGA-PBE | relaxed; calculated total energy = -6.989 eV per atom; energy of formation from the pure elements = -0.2774 eV/atom
1.0
7.7416 0.0000 0.0000
0.0000 7.7416 0.0000
3.8708 3.8708 3.1165
Pb Zr Pt
2 4 2
Direct
0.0000 0.0000 0.0000
0.7500 0.2500 0.5000
0.5878 0.1250 0.2500
0.1622 0.6250 0.2500
0.3750 0.4122 0.7500
0.8750 0.8378 0.7500
0.5000 0.5000 0.0000
0.2500 0.7500 0.5000

No. 2
RbMg2VCl8 | Alexandria | GGA-PBE | relaxed; calculated total energy = -3.922 eV per atom; ΔE_f (raw) = -1.584 eV per atom
1.0
-1.1398 2.8052 -5.5433
-0.4728 -4.6880 -4.2198
-8.7383 -1.0130 -1.0963
Rb Mg V Cl
1 2 1 8
Direct
0.0000 0.0000 0.5000
0.4464 0.4449 0.7251
0.5536 0.5551 0.2749
0.0000 0.0000 0.0000
0.1877 0.7369 0.2039
0.7561 0.7632 0.0317
0.7418 0.1928 0.2007
0.8123 0.2631 0.7961
0.2439 0.2368 0.9683
0.2582 0.8072 0.7993
0.6580 0.6708 0.4805
0.3420 0.3292 0.5195